[1]
First-principles (PBE) data for an optimized crystal structure of PrTmNiIr, as listed in the Alexandria database.

Lattice parameters (Å, degrees): 6.925 6.925 6.925 90.00 90.00 90.00
Space group F-43m (No. 216)
Asymmetric unit:
Pr 0.000 0.000 0.000 x4
Tm 0.000 0.000 0.500 x4
Ni 0.250 0.250 0.250 x4
Ir 0.250 0.250 0.750 x4

Energy of formation ... -519 meV per atom



[2]
First-principles (PBE) data for an optimized crystal structure of Li2DyMgAu4, as listed in the Alexandria database.

Lattice parameters (Å, degrees): 4.6522 4.6522 23.8939 90.00 90.00 120.00
Space group R-3m (No. 166, hexagonal axes)
Asymmetric unit:
Li 0.0000 0.0000 0.2445 x6
Dy 0.0000 0.0000 0.0000 x3
Mg 0.0000 0.0000 0.5000 x3
Au 0.0000 0.0000 0.1265 x6
Au 0.0000 0.0000 0.3863 x6

Energy of formation ... -644 meV per atom



Number 1: volume 20.76 A^3/atom, magnetization 0.00 μB/f.u.. Number 2: volume 18.66 A^3/atom, magnetization 0.00 μB/f.u..